Record 1
Density functional theory data (PBE) for a geometry-optimized DyYThTc structure.

```
DyYThTc
1.0
-4.8216 -0.8367 -0.3430
2.8363 -3.0569 2.5840
1.4980 4.3249 3.4591
Dy Tc Y Th
1 1 1 1
Cartesian
-1.0164 0.0487 4.5664
-0.4426 -1.9912 1.5306
-1.0546 1.4941 1.6615
-3.1071 -0.8475 1.1572
```

## Properties
DOS at the Fermi energy in states/eV/cell: 4.4
E_form in eV/atom: 0.167

Record 2
Density functional theory data (PBE) for a geometry-optimized DyThZnTc structure.

```
DyThZnTc
1.0
5.0314 0.0000 0.0000
2.5157 4.3573 0.0000
2.5157 1.4524 4.1081
Dy Tc Zn Th
1 1 1 1
Cartesian
7.5471 4.3573 3.0811
5.0314 2.9049 2.0541
0.0000 0.0000 0.0000
2.5157 1.4524 1.0270
```

## Properties
DOS at the Fermi energy in states/eV/cell: 5.6
E_form in eV/atom: -0.136

Record 3
Density functional theory data (PBE) for a geometry-optimized DyTiTc structure.

```
DyTiTc
1.0
4.4000 0.0000 0.0000
2.2000 3.8105 0.0000
2.2000 1.2702 7.8340
Ti Tc Dy
2 2 2
Cartesian
4.4000 2.5404 0.7470
4.4000 2.5404 7.0870
6.6001 3.8105 1.2239
2.2000 1.2702 6.6101
6.6001 3.8105 5.0980
2.2000 1.2702 2.7360
```

## Properties
ΔE to the lowest computed polymorph in eV per formula unit: 0.29
DOS at the Fermi energy in states/eV/cell: 5.8
E_form in eV/atom: -0.046

Record 4
Density functional theory data (PBE) for a geometry-optimized DyTiTc structure.

```
DyTiTc
1.0
3.3070 0.0000 0.0000
0.0000 3.3070 0.0000
-1.6535 -1.6535 5.4834
Ti Dy Tc
1 1 1
Cartesian
0.0000 0.0000 3.2520
0.0000 0.0000 0.1489
1.6535 1.6535 2.0825
```

## Properties
ΔE to the lowest computed polymorph in eV per formula unit: 0.00
DOS at the Fermi energy in states/eV/cell: 1.7
E_form in eV/atom: -0.143

> Which value of DOS at the Fermi energy does entry 1 give?

4.4 states/eV/cell